No. 1
Na2ZrTeS2, optimized geometry, DFT PBE-GGA; total energy = -5.007 eV per atom
1.0
3.4412 -6.1953 0.0000
3.4412 6.1953 0.0000
-2.5096 0.0000 6.9629
Na Zr Te S
4 2 2 4
direct
0.0000 0.0000 0.0000 Na
0.1749 0.8251 0.5000 Na
0.5000 0.5000 0.5000 Na
0.8251 0.1749 0.5000 Na
0.3127 0.6873 0.0000 Zr
0.6873 0.3127 0.0000 Zr
0.2729 0.2729 0.7656 Te
0.7271 0.7271 0.2344 Te
0.0786 0.4447 0.2120 S
0.4447 0.0786 0.2120 S
0.5553 0.9214 0.7880 S
0.9214 0.5553 0.7880 S

No. 2
RbLuPbS3, optimized geometry, DFT PBE-GGA; total energy = -4.854 eV per atom
1.0
1.9729 -8.7215 0.0000
1.9729 8.7215 0.0000
0.0000 0.0000 11.4231
Rb Lu Pb S
2 2 2 6
direct
0.1716 0.8284 0.7500 Rb
0.8284 0.1716 0.2500 Rb
0.5000 0.5000 0.0000 Lu
0.5000 0.5000 0.5000 Lu
0.1119 0.8881 0.2500 Pb
0.8881 0.1119 0.7500 Pb
0.1030 0.8970 0.0005 S
0.1030 0.8970 0.4995 S
0.4956 0.5044 0.7500 S
0.5044 0.4956 0.2500 S
0.8970 0.1030 0.5005 S
0.8970 0.1030 0.9995 S

- Which formula does entry 1 have?
  Na2ZrTeS2